Here is a relaxed Er4Zr6Sc19 crystal from the Alexandria database. Energies are from PBE-GGA.

Properties
Its crystal system is triclinic. The calculation puts the energy of formation at 0.077 eV per atom.

Unit cell a=10.776 b=9.648 c=7.944 alpha=102.32 beta=104.10 gamma=107.06
Element x y z (fractional)
Sc 0.606 0.790 0.178
Sc 0.514 0.848 0.774
Sc 0.813 0.831 0.962
Zr 0.605 0.457 0.159
Sc 0.309 0.823 0.987
Zr 0.223 0.566 0.587
Sc 0.328 0.161 0.991
Sc 0.911 0.084 0.363
Zr 0.537 0.533 0.789
Er 0.116 0.622 0.174
Er 0.654 0.141 0.126
Sc 0.005 0.361 0.732
Sc 0.431 0.083 0.362
Zr 0.411 0.759 0.385
Sc 0.122 0.971 0.187
Er 0.384 0.407 0.363
Sc 0.990 0.674 0.741
Sc 0.702 0.055 0.599
Sc 0.897 0.744 0.334
Sc 0.053 0.269 0.140
Sc 0.322 0.498 0.985
Zr 0.510 0.200 0.760
Sc 0.685 0.708 0.546
Sc 0.693 0.380 0.538
Sc 0.230 0.234 0.592
Er 0.004 0.010 0.749
Sc 0.230 0.894 0.584
Zr 0.913 0.435 0.360
Sc 0.802 0.459 0.951